one | # HfTeF3, optimized geometry, DFT PBE
# * magnetic moment: 0.36 μB/atom
# * V: 102 Å³/cell
data_HfTeF3
_chemical_formula_sum 'Hf1 Te1 F3'
_symmetry_space_group_name_H-M 'P m -3 m'
_symmetry_Int_Tables_number 221
_symmetry_space_group_name_Hall '-P 4 2 3'
_cell_length_a 4.666
_cell_length_b 4.666
_cell_length_c 4.666
_cell_angle_alpha 90.00
_cell_angle_beta 90.00
_cell_angle_gamma 90.00
loop_
_atom_site_label
_atom_site_type_symbol
_atom_site_fract_x
_atom_site_fract_y
_atom_site_fract_z
Hf1 Hf 0.000 0.000 0.000
Te1 Te 0.500 0.500 0.500
F1 F 0.000 0.500 0.500


two | # HfTeF3, optimized geometry, DFT PBE
# * magnetic moment: 0.00 μB/atom
# * V: 182 Å³/cell
data_HfTeF3
_chemical_formula_sum 'Hf2 Te2 F6'
_symmetry_space_group_name_H-M 'P 1'
_symmetry_Int_Tables_number 1
_cell_length_a 5.348
_cell_length_b 5.864
_cell_length_c 5.952
_cell_angle_alpha 77.77
_cell_angle_beta 89.23
_cell_angle_gamma 85.43
loop_
_symmetry_equiv_pos_as_xyz
'x,y,z'
loop_
_atom_site_label
_atom_site_type_symbol
_atom_site_fract_x
_atom_site_fract_y
_atom_site_fract_z
Hf1 Hf 0.000 0.000 0.000
Hf2 Hf 0.458 0.190 0.453
Te1 Te 0.257 0.527 0.977
Te2 Te 0.589 0.613 0.615
F1 F 0.122 0.341 0.446
F2 F 0.254 0.002 0.250
F3 F 0.303 0.057 0.776
F4 F 0.749 0.166 0.217
F5 F 0.781 0.083 0.716
F6 F 0.793 0.759 0.146


three | # HfTeF3, optimized geometry, DFT PBE
# * magnetic moment: 0.20 μB/atom
# * V: 81 Å³/cell
data_HfTeF3
_chemical_formula_sum 'Hf1 Te1 F3'
_symmetry_space_group_name_H-M 'P m -3 m'
_symmetry_Int_Tables_number 221
_symmetry_space_group_name_Hall '-P 4 2 3'
_cell_length_a 4.323
_cell_length_b 4.323
_cell_length_c 4.323
_cell_angle_alpha 90.00
_cell_angle_beta 90.00
_cell_angle_gamma 90.00
loop_
_atom_site_label
_atom_site_type_symbol
_atom_site_fract_x
_atom_site_fract_y
_atom_site_fract_z
Hf1 Hf 0.000 0.000 0.000
Te1 Te 0.500 0.500 0.500
F1 F 0.000 0.000 0.500


Verdict on stability: one comes out at the bottom.


one | # HfTe2F, optimized geometry, DFT PBE
# * magnetic moment: 0.00 μB/atom
# * V: 339 Å³/cell
data_HfTe2F
_chemical_formula_sum 'Hf3 Te6 F3'
_symmetry_space_group_name_H-M 'R -3 m'
_symmetry_Int_Tables_number 166
_symmetry_space_group_name_Hall '-R 3 2"'
_cell_length_a 4.0223
_cell_length_b 4.0223
_cell_length_c 24.1820
_cell_angle_alpha 90.00
_cell_angle_beta 90.00
_cell_angle_gamma 120.00
loop_
_atom_site_label
_atom_site_type_symbol
_atom_site_fract_x
_atom_site_fract_y
_atom_site_fract_z
Hf1 Hf 0.0000 0.0000 0.0000
Te1 Te 0.0000 0.0000 0.4038
F1 F 0.0000 0.0000 0.5000


two | # HfTe2F, optimized geometry, DFT PBE
# * magnetic moment: 0.00 μB/atom
# * V: 342 Å³/cell
data_HfTe2F
_chemical_formula_sum 'Hf4 Te8 F4'
_symmetry_space_group_name_H-M 'F m -3 m'
_symmetry_Int_Tables_number 225
_symmetry_space_group_name_Hall '-F 4 2 3'
_cell_length_a 6.997
_cell_length_b 6.997
_cell_length_c 6.997
_cell_angle_alpha 90.00
_cell_angle_beta 90.00
_cell_angle_gamma 90.00
loop_
_atom_site_label
_atom_site_type_symbol
_atom_site_fract_x
_atom_site_fract_y
_atom_site_fract_z
Hf1 Hf 0.000 0.000 0.000
Te1 Te 0.250 0.250 0.250
F1 F 0.000 0.000 0.500


Verdict on stability: two comes out at the bottom.


one | # HfTe2F, optimized geometry, DFT PBE
# * magnetic moment: 0.00 μB/atom
# * V: 270 Å³/cell
data_HfTe2F
_chemical_formula_sum 'Hf3 Te6 F3'
_symmetry_space_group_name_H-M 'R -3 m'
_symmetry_Int_Tables_number 166
_symmetry_space_group_name_Hall '-R 3 2"'
_cell_length_a 3.2065
_cell_length_b 3.2065
_cell_length_c 30.2833
_cell_angle_alpha 90.00
_cell_angle_beta 90.00
_cell_angle_gamma 120.00
loop_
_atom_site_label
_atom_site_type_symbol
_atom_site_fract_x
_atom_site_fract_y
_atom_site_fract_z
Hf1 Hf 0.0000 0.0000 0.0000
Te1 Te 0.0000 0.0000 0.0966
F1 F 0.0000 0.0000 0.5000


two | # HfTe2F, optimized geometry, DFT PBE
# * magnetic moment: 0.00 μB/atom
# * V: 501 Å³/cell
data_HfTe2F
_chemical_formula_sum 'Hf4 Te8 F4'
_symmetry_space_group_name_H-M 'I -4 2 d'
_symmetry_Int_Tables_number 122
_symmetry_space_group_name_Hall 'I -4 2bw'
_cell_length_a 6.273
_cell_length_b 6.273
_cell_length_c 12.730
_cell_angle_alpha 90.00
_cell_angle_beta 90.00
_cell_angle_gamma 90.00
loop_
_atom_site_label
_atom_site_type_symbol
_atom_site_fract_x
_atom_site_fract_y
_atom_site_fract_z
Hf1 Hf 0.000 0.000 0.000
Te1 Te 0.245 0.250 0.625
F1 F 0.000 0.000 0.500


Verdict on stability: one comes out at the bottom.


one | # Hf2TeF2, optimized geometry, DFT PBE
# * magnetic moment: 0.00 μB/atom
# * V: 183 Å³/cell
data_Hf2TeF2
_chemical_formula_sum 'Hf4 Te2 F4'
_symmetry_space_group_name_H-M 'P 4/m b m'
_symmetry_Int_Tables_number 127
_symmetry_space_group_name_Hall '-P 4 2ab'
_cell_length_a 7.663
_cell_length_b 7.663
_cell_length_c 3.120
_cell_angle_alpha 90.00
_cell_angle_beta 90.00
_cell_angle_gamma 90.00
loop_
_atom_site_label
_atom_site_type_symbol
_atom_site_fract_x
_atom_site_fract_y
_atom_site_fract_z
Hf1 Hf 0.131 0.369 0.000
Te1 Te 0.000 0.000 0.000
F1 F 0.113 0.613 0.500


two | # Hf2TeF2, optimized geometry, DFT PBE
# * magnetic moment: 0.00 μB/atom
# * V: 162 Å³/cell
data_Hf2TeF2
_chemical_formula_sum 'Hf4 Te2 F4'
_symmetry_space_group_name_H-M 'I 4/m m m'
_symmetry_Int_Tables_number 139
_symmetry_space_group_name_Hall '-I 4 2'
_cell_length_a 3.531
_cell_length_b 3.531
_cell_length_c 12.964
_cell_angle_alpha 90.00
_cell_angle_beta 90.00
_cell_angle_gamma 90.00
loop_
_atom_site_label
_atom_site_type_symbol
_atom_site_fract_x
_atom_site_fract_y
_atom_site_fract_z
Hf1 Hf 0.000 0.000 0.124
Te1 Te 0.000 0.000 0.500
F1 F 0.000 0.500 0.250


Verdict on stability: one comes out at the bottom.


one | # Hf3TiF, optimized geometry, DFT PBE
# * magnetic moment: 0.00 μB/atom
# * V: 122 Å³/cell
data_Hf3TiF
_chemical_formula_sum 'Hf3 Ti1 F1'
_symmetry_space_group_name_H-M 'P m -3 m'
_symmetry_Int_Tables_number 221
_symmetry_space_group_name_Hall '-P 4 2 3'
_cell_length_a 4.961
_cell_length_b 4.961
_cell_length_c 4.961
_cell_angle_alpha 90.00
_cell_angle_beta 90.00
_cell_angle_gamma 90.00
loop_
_atom_site_label
_atom_site_type_symbol
_atom_site_fract_x
_atom_site_fract_y
_atom_site_fract_z
Hf1 Hf 0.000 0.000 0.500
Ti1 Ti 0.000 0.000 0.000
F1 F 0.500 0.500 0.500


two | # Hf3TiF, optimized geometry, DFT PBE
# * magnetic moment: 0.00 μB/atom
# * V: 92 Å³/cell
data_Hf3TiF
_chemical_formula_sum 'Hf3 Ti1 F1'
_symmetry_space_group_name_H-M 'P m -3 m'
_symmetry_Int_Tables_number 221
_symmetry_space_group_name_Hall '-P 4 2 3'
_cell_length_a 4.516
_cell_length_b 4.516
_cell_length_c 4.516
_cell_angle_alpha 90.00
_cell_angle_beta 90.00
_cell_angle_gamma 90.00
loop_
_atom_site_label
_atom_site_type_symbol
_atom_site_fract_x
_atom_site_fract_y
_atom_site_fract_z
Hf1 Hf 0.000 0.000 0.500
Ti1 Ti 0.500 0.500 0.500
F1 F 0.000 0.000 0.000


Verdict on stability: one comes out at the bottom.


one | # HfTi3F, optimized geometry, DFT PBE
# * magnetic moment: 0.00 μB/atom
# * V: 80 Å³/cell
data_HfTi3F
_chemical_formula_sum 'Hf1 Ti3 F1'
_symmetry_space_group_name_H-M 'P m -3 m'
_symmetry_Int_Tables_number 221
_symmetry_space_group_name_Hall '-P 4 2 3'
_cell_length_a 4.316
_cell_length_b 4.316
_cell_length_c 4.316
_cell_angle_alpha 90.00
_cell_angle_beta 90.00
_cell_angle_gamma 90.00
loop_
_atom_site_label
_atom_site_type_symbol
_atom_site_fract_x
_atom_site_fract_y
_atom_site_fract_z
Hf1 Hf 0.000 0.000 0.000
Ti1 Ti 0.000 0.500 0.500
F1 F 0.500 0.500 0.500


two | # HfTi3F, optimized geometry, DFT PBE
# * magnetic moment: 0.59 μB/atom
# * V: 122 Å³/cell
data_HfTi3F
_chemical_formula_sum 'Hf1 Ti3 F1'
_symmetry_space_group_name_H-M 'P m -3 m'
_symmetry_Int_Tables_number 221
_symmetry_space_group_name_Hall '-P 4 2 3'
_cell_length_a 4.957
_cell_length_b 4.957
_cell_length_c 4.957
_cell_angle_alpha 90.00
_cell_angle_beta 90.00
_cell_angle_gamma 90.00
loop_
_atom_site_label
_atom_site_type_symbol
_atom_site_fract_x
_atom_site_fract_y
_atom_site_fract_z
Hf1 Hf 0.000 0.000 0.000
Ti1 Ti 0.000 0.000 0.500
F1 F 0.500 0.500 0.500


Verdict on stability: two comes out at the bottom.


one | # Hf2TiF, optimized geometry, DFT PBE
# * magnetic moment: 0.01 μB/atom
# * V: 292 Å³/cell
data_Hf2TiF
_chemical_formula_sum 'Hf8 Ti4 F4'
_symmetry_space_group_name_H-M 'I -4 2 d'
_symmetry_Int_Tables_number 122
_symmetry_space_group_name_Hall 'I -4 2bw'
_cell_length_a 7.027
_cell_length_b 7.027
_cell_length_c 5.908
_cell_angle_alpha 90.00
_cell_angle_beta 90.00
_cell_angle_gamma 90.00
loop_
_atom_site_label
_atom_site_type_symbol
_atom_site_fract_x
_atom_site_fract_y
_atom_site_fract_z
Hf1 Hf 0.166 0.250 0.125
Ti1 Ti 0.000 0.000 0.500
F1 F 0.000 0.000 0.000


two | # Hf2TiF, optimized geometry, DFT PBE
# * magnetic moment: 0.34 μB/atom
# * V: 298 Å³/cell
data_Hf2TiF
_chemical_formula_sum 'Hf8 Ti4 F4'
_symmetry_space_group_name_H-M 'F m -3 m'
_symmetry_Int_Tables_number 225
_symmetry_space_group_name_Hall '-F 4 2 3'
_cell_length_a 6.682
_cell_length_b 6.682
_cell_length_c 6.682
_cell_angle_alpha 90.00
_cell_angle_beta 90.00
_cell_angle_gamma 90.00
loop_
_atom_site_label
_atom_site_type_symbol
_atom_site_fract_x
_atom_site_fract_y
_atom_site_fract_z
Hf1 Hf 0.250 0.250 0.250
Ti1 Ti 0.000 0.000 0.000
F1 F 0.000 0.000 0.500


Verdict on stability: two comes out at the bottom.


one | # HfTiF3, optimized geometry, DFT PBE
# * magnetic moment: 0.90 μB/atom
# * V: 80 Å³/cell
data_HfTiF3
_chemical_formula_sum 'Hf1 Ti1 F3'
_symmetry_space_group_name_H-M 'P m -3 m'
_symmetry_Int_Tables_number 221
_symmetry_space_group_name_Hall '-P 4 2 3'
_cell_length_a 4.305
_cell_length_b 4.305
_cell_length_c 4.305
_cell_angle_alpha 90.00
_cell_angle_beta 90.00
_cell_angle_gamma 90.00
loop_
_atom_site_label
_atom_site_type_symbol
_atom_site_fract_x
_atom_site_fract_y
_atom_site_fract_z
Hf1 Hf 0.000 0.000 0.000
Ti1 Ti 0.500 0.500 0.500
F1 F 0.000 0.000 0.500


two | # HfTiF3, optimized geometry, DFT PBE
# * magnetic moment: 0.87 μB/atom
# * V: 74 Å³/cell
data_HfTiF3
_chemical_formula_sum 'Hf1 Ti1 F3'
_symmetry_space_group_name_H-M 'P m -3 m'
_symmetry_Int_Tables_number 221
_symmetry_space_group_name_Hall '-P 4 2 3'
_cell_length_a 4.207
_cell_length_b 4.207
_cell_length_c 4.207
_cell_angle_alpha 90.00
_cell_angle_beta 90.00
_cell_angle_gamma 90.00
loop_
_atom_site_label
_atom_site_type_symbol
_atom_site_fract_x
_atom_site_fract_y
_atom_site_fract_z
Hf1 Hf 0.000 0.000 0.000
Ti1 Ti 0.500 0.500 0.500
F1 F 0.000 0.500 0.500


Verdict on stability: two comes out at the bottom.


one | # YHf2TiF, optimized geometry, DFT PBE
# * magnetic moment: 0.56 μB/atom
# * V: 130 Å³/cell
data_YHf2TiF
_chemical_formula_sum 'Y1 Hf2 Ti1 F1'
_symmetry_space_group_name_H-M 'P 4/m m m'
_symmetry_Int_Tables_number 123
_symmetry_space_group_name_Hall '-P 4 2'
_cell_length_a 5.663
_cell_length_b 5.663
_cell_length_c 4.056
_cell_angle_alpha 90.00
_cell_angle_beta 90.00
_cell_angle_gamma 90.00
loop_
_atom_site_label
_atom_site_type_symbol
_atom_site_fract_x
_atom_site_fract_y
_atom_site_fract_z
Y1 Y 0.000 0.000 0.000
Hf1 Hf 0.000 0.500 0.000
Ti1 Ti 0.500 0.500 0.500
F1 F 0.000 0.000 0.500


two | # YHf2TiF, optimized geometry, DFT PBE
# * magnetic moment: 0.21 μB/atom
# * V: 116 Å³/cell
data_YHf2TiF
_chemical_formula_sum 'Y1 Hf2 Ti1 F1'
_symmetry_space_group_name_H-M 'P 4/m m m'
_symmetry_Int_Tables_number 123
_symmetry_space_group_name_Hall '-P 4 2'
_cell_length_a 5.481
_cell_length_b 5.481
_cell_length_c 3.859
_cell_angle_alpha 90.00
_cell_angle_beta 90.00
_cell_angle_gamma 90.00
loop_
_atom_site_label
_atom_site_type_symbol
_atom_site_fract_x
_atom_site_fract_y
_atom_site_fract_z
Y1 Y 0.000 0.000 0.000
Hf1 Hf 0.000 0.500 0.500
Ti1 Ti 0.500 0.500 0.500
F1 F 0.500 0.500 0.000


Verdict on stability: one comes out at the bottom.


one | # HfTlF2, optimized geometry, DFT PBE
# * magnetic moment: 0.00 μB/atom
# * V: 306 Å³/cell
data_HfTlF2
_chemical_formula_sum 'Hf4 Tl4 F8'
_symmetry_space_group_name_H-M 'I 41/a m d'
_symmetry_Int_Tables_number 141
_cell_length_a 4.691
_cell_length_b 4.691
_cell_length_c 13.893
_cell_angle_alpha 90.00
_cell_angle_beta 90.00
_cell_angle_gamma 90.00
loop_
_symmetry_equiv_pos_as_xyz
'x,y,z'
'-x,-y,-z'
'-y+1/4,x+3/4,z+1/4'
'y+1/4,-x+3/4,-z+1/4'
'-x+1/2,-y,z+1/2'
'x+1/2,y,-z+1/2'
'y+1/4,-x+1/4,z+3/4'
'-y+1/4,x+1/4,-z+3/4'
'x,-y,-z'
'-x,y,z'
'-y+1/4,-x+1/4,-z+3/4'
'y+1/4,x+1/4,z+3/4'
'-x+1/2,y,-z+1/2'
'x+1/2,-y,z+1/2'
'y+1/4,x+3/4,-z+1/4'
'-y+1/4,-x+3/4,z+1/4'
'x+1/2,y+1/2,z+1/2'
'-x+1/2,-y+1/2,-z+1/2'
'-y+3/4,x+1/4,z+3/4'
'y+3/4,-x+1/4,-z+3/4'
'-x,-y+1/2,z'
'x,y+1/2,-z'
'y+3/4,-x+3/4,z+1/4'
'-y+3/4,x+3/4,-z+1/4'
'x+1/2,-y+1/2,-z+1/2'
'-x+1/2,y+1/2,z+1/2'
'-y+3/4,-x+3/4,-z+1/4'
'y+3/4,x+3/4,z+1/4'
'-x,y+1/2,-z'
'x,-y+1/2,z'
'y+3/4,x+1/4,-z+3/4'
'-y+3/4,-x+1/4,z+3/4'
loop_
_atom_site_label
_atom_site_type_symbol
_atom_site_fract_x
_atom_site_fract_y
_atom_site_fract_z
Hf1 Hf 0.000 0.250 0.375
Tl1 Tl 0.000 0.250 0.875
F1 F 0.000 0.000 0.500


two | # HfTlF2, optimized geometry, DFT PBE
# * magnetic moment: 0.00 μB/atom
# * V: 260 Å³/cell
data_HfTlF2
_chemical_formula_sum 'Hf4 Tl4 F8'
_symmetry_space_group_name_H-M 'F m -3 m'
_symmetry_Int_Tables_number 225
_symmetry_space_group_name_Hall '-F 4 2 3'
_cell_length_a 6.384
_cell_length_b 6.384
_cell_length_c 6.384
_cell_angle_alpha 90.00
_cell_angle_beta 90.00
_cell_angle_gamma 90.00
loop_
_atom_site_label
_atom_site_type_symbol
_atom_site_fract_x
_atom_site_fract_y
_atom_site_fract_z
Hf1 Hf 0.000 0.000 0.000
Tl1 Tl 0.000 0.000 0.500
F1 F 0.250 0.250 0.250


three | # HfTlF2, optimized geometry, DFT PBE
# * magnetic moment: 0.00 μB/atom
# * V: 254 Å³/cell
data_HfTlF2
_chemical_formula_sum 'Hf3 Tl3 F6'
_symmetry_space_group_name_H-M 'R -3 m'
_symmetry_Int_Tables_number 166
_symmetry_space_group_name_Hall '-R 3 2"'
_cell_length_a 3.3247
_cell_length_b 3.3247
_cell_length_c 26.5550
_cell_angle_alpha 90.00
_cell_angle_beta 90.00
_cell_angle_gamma 120.00
loop_
_atom_site_label
_atom_site_type_symbol
_atom_site_fract_x
_atom_site_fract_y
_atom_site_fract_z
Hf1 Hf 0.0000 0.0000 0.0000
Tl1 Tl 0.0000 0.0000 0.5000
F1 F 0.0000 0.0000 0.0740


Verdict on stability: two comes out at the bottom.